[1]
FeCuNi: optimized geometry, PBE-GGA.

Summary:
The value obtained for the calculated formation energy is 4 kJ/mol of formula units. Its density of states at the Fermi level is 0.539 states/eV per atom. Its calculated total energy is -6.10 eV per atom.

The structure in extended XYZ format:
```
12
Lattice="-2.6086 -1.4212 4.1049 -1.1972 -2.8828 -1.7588 7.3265 -3.2561 0.3498" Properties=species:S:1:pos:R:3 pbc="T T T"
Fe 3.0011 -1.9547 1.1610
Fe 1.7169 -2.7225 3.2937
Fe 6.0658 -5.0241 0.4566
Fe -2.5450 -2.5359 2.2393
Ni 3.7198 -4.0229 4.0616
Ni 0.9981 -0.6543 0.3931
Ni 4.0628 -3.7237 -0.3114
Ni -0.5420 -3.8362 3.0073
Cu 0.7495 -3.1153 0.9466
Cu 5.0113 -3.3019 2.0010
Cu -0.2933 -1.3753 2.4538
Cu 2.7713 -4.4447 1.7493
```

***

[2]
Fe2CuNi: optimized geometry, PBE-GGA.

Summary:
The value obtained for the calculated formation energy is 32 kJ/mol of formula units. Its density of states at the Fermi level is 0.792 states/eV per atom. Its calculated total energy is -6.62 eV per atom.

The structure in extended XYZ format:
```
4
Lattice="4.4408 -0.0025 0.0126 3.7121 2.4375 0.0126 0.7426 0.2218 4.2808" Properties=species:S:1:pos:R:3 pbc="T T T"
Fe 4.4627 1.3329 2.1370
Fe 8.1380 2.4305 0.0413
Ni 2.2239 0.6642 1.0765
Cu 6.6717 1.9926 3.2296
```

***

[3]
Fe2CuNi: optimized geometry, PBE-GGA.

Summary:
The value obtained for the calculated formation energy is 70 kJ/mol of formula units. Its density of states at the Fermi level is 1.508 states/eV per atom. Its calculated total energy is -6.52 eV per atom.

The structure in extended XYZ format:
```
4
Lattice="-3.6480 -1.7773 0.0394 -2.8154 1.0856 -2.7136 -1.0439 -2.5562 -2.9740" Properties=species:S:1:pos:R:3 pbc="T T T"
Fe -5.6305 -2.4359 -4.2361
Fe -1.8768 -0.8120 -1.4120
Ni 0.0000 0.0000 0.0000
Cu -3.7537 -1.6240 -2.8241
```

***

[4]
Fe2CuNi: optimized geometry, PBE-GGA.

Summary:
The value obtained for the calculated formation energy is 38 kJ/mol of formula units. Its density of states at the Fermi level is 1.097 states/eV per atom. Its calculated total energy is -6.60 eV per atom.

The structure in extended XYZ format:
```
4
Lattice="4.0351 0.0000 0.0000 2.0175 3.4945 0.0000 2.0175 1.1648 3.2946" Properties=species:S:1:pos:R:3 pbc="T T T"
Cu 4.0351 2.3296 1.6473
Ni 6.0526 3.4945 2.4710
Fe 0.0000 0.0000 0.0000
Fe 2.0175 1.1648 0.8237
```

***

[5]
FeCu4Ni15: optimized geometry, PBE-GGA.

Summary:
The value obtained for the calculated formation energy is 18 kJ/mol of formula units. Its density of states at the Fermi level is 1.163 states/eV per atom. Its calculated total energy is -5.57 eV per atom.

The structure in extended XYZ format:
```
20
Lattice="-0.7543 -3.0332 1.6779 2.2533 -1.7339 -2.1215 13.0821 3.0527 11.3997" Properties=species:S:1:pos:R:3 pbc="T T T"
Cu 7.8517 1.8322 6.8419
Cu 2.6166 0.6106 2.2801
Cu 5.2305 1.2205 4.5578
Cu 10.4655 2.4421 9.1196
Ni 3.5458 -0.6012 4.2574
Ni 12.9153 1.8839 9.2118
Ni 11.4115 1.2343 11.1115
Ni 10.2859 1.2703 6.9205
Ni 3.3613 -1.7741 2.0541
Ni 8.5992 -0.5519 6.6184
Ni 7.6677 0.6594 4.6391
Ni 0.9163 -1.2148 1.9661
Ni 5.0496 0.0484 2.3576
Ni 5.9819 -1.1626 4.3377
Ni 2.4201 -0.5651 0.0663
Ni 6.1639 0.0097 6.5388
Ni 11.2198 0.0597 8.9019
Ni 8.7821 0.6207 8.8202
Ni 0.7495 -2.3836 -0.2218
Fe 0.0000 0.0000 0.0000
```

***

[6]
FeCu4Ni3: optimized geometry, PBE-GGA.

Summary:
The value obtained for the calculated formation energy is 18 kJ/mol of formula units. Its density of states at the Fermi level is 0.803 states/eV per atom. Its calculated total energy is -5.25 eV per atom.

The structure in extended XYZ format:
```
8
Lattice="-0.9092 -2.0277 -1.2000 -0.4636 -2.0687 3.8467 -7.1371 4.4541 0.5391" Properties=species:S:1:pos:R:3 pbc="T T T"
Ni -6.0426 1.2873 2.4033
Ni -2.4674 -0.9295 0.7825
Ni -0.2318 -1.0343 1.9234
Cu -3.8779 1.1820 0.9411
Cu -2.3138 -0.9189 3.3057
Cu -6.1962 1.2766 -0.1199
Cu -4.6321 -0.8242 2.2448
Fe -0.4546 -1.0138 -0.6000
```

***

[7]
FeCuNi: optimized geometry, PBE-GGA.

Summary:
The value obtained for the calculated formation energy is 19 kJ/mol of formula units. Its density of states at the Fermi level is 1.048 states/eV per atom. Its calculated total energy is -6.05 eV per atom.

The structure in extended XYZ format:
```
6
Lattice="-1.3250 1.3292 1.6495 -3.5628 1.4568 -2.1268 -2.4337 -4.6672 5.5819" Properties=species:S:1:pos:R:3 pbc="T T T"
Fe -5.2968 -1.4667 2.8099
Fe -5.2192 -2.1407 5.2872
Cu -3.2025 -1.0080 4.1045
Cu -1.3169 0.6111 0.5372
Ni -4.7431 1.4930 0.8667
Ni -3.3383 -0.4332 1.6490
```

***

[8]
FeCu6Ni2: optimized geometry, PBE-GGA.

Summary:
The value obtained for the calculated formation energy is 35 kJ/mol of formula units. Its density of states at the Fermi level is 0.628 states/eV per atom. Its calculated total energy is -4.92 eV per atom.

The structure in extended XYZ format:
```
18
Lattice="-7.4904 -1.7594 -5.0410 -3.2250 -0.9169 -7.7149 -6.1798 -6.4499 -2.0585" Properties=species:S:1:pos:R:3 pbc="T T T"
Cu -7.7320 -5.2848 -8.8624
Cu -9.8319 -5.6941 -7.5502
Cu -12.7386 -7.5322 -10.2867
Cu -9.6969 -6.1710 -5.0513
Cu -4.1565 -1.5941 -4.5277
Cu -12.2781 -5.2042 -11.1675
Cu -4.2794 -1.1290 -7.0601
Cu -4.6170 -3.9220 -3.6469
Cu -12.6157 -7.9972 -7.7543
Cu -7.1983 -2.9552 -9.7631
Cu -9.1631 -3.8414 -5.9520
Cu -7.0633 -3.4322 -7.2642
Fe -7.3841 -6.1477 -3.9545
Fe -9.5110 -2.9785 -10.8599
Ni -7.5590 -5.7706 -6.3724
Ni -6.9023 -3.8820 -4.7654
Ni -9.3361 -3.3557 -8.4420
Ni -9.9929 -5.2443 -10.0490
```